# 1
U2SbAs (GGA-PBE, relaxed); DFT total energy = -8.195 eV per atom; calculated volume = 107 Å³/cell; formation energy from raw total energies = -0.3581 eV per atom
1.0
2.019 1.166 7.605
-2.019 1.166 7.605
0.000 -2.332 7.605
U Sb As
2 1 1
Direct
0.000 0.000 0.000
0.182 0.182 0.182
0.759 0.759 0.759
0.590 0.590 0.590

# 2
U2SbAs (GGA-PBE, relaxed); DFT total energy = -8.269 eV per atom; calculated volume = 107 Å³/cell; formation energy from raw total energies = -0.4322 eV per atom
1.0
2.143 1.237 6.734
-2.143 1.237 6.734
0.000 -2.474 6.734
U Sb As
2 1 1
Direct
0.242 0.242 0.242
0.758 0.758 0.758
0.000 0.000 0.000
0.500 0.500 0.500

# 3
U5SbAs4 (GGA-PBE, relaxed); DFT total energy = -8.499 eV per atom; calculated volume = 252 Å³/cell; formation energy from raw total energies = -0.5830 eV per atom
1.0
-2.032 2.945 10.535
2.032 -2.945 10.535
2.032 2.945 -10.535
U Sb As
5 1 4
Direct
0.000 0.000 0.000
0.198 0.198 0.000
0.391 0.391 0.000
0.609 0.609 0.000
0.802 0.802 0.000
0.500 0.000 0.500
0.099 0.599 0.500
0.295 0.795 0.500
0.705 0.205 0.500
0.901 0.401 0.500

# 4
USbAs2 (GGA-PBE, relaxed); DFT total energy = -6.118 eV per atom; calculated volume = 121 Å³/cell; formation energy from raw total energies = 0.0591 eV per atom
1.0
2.004 1.157 8.693
-2.004 1.157 8.693
0.000 -2.314 8.693
U Sb As
1 1 2
Direct
0.000 0.000 0.000
0.500 0.500 0.500
0.394 0.394 0.394
0.606 0.606 0.606

# 5
USb2As (GGA-PBE, relaxed); DFT total energy = -6.214 eV per atom; calculated volume = 95 Å³/cell; formation energy from raw total energies = -0.1688 eV per atom
1.0
4.370 0.000 0.000
0.000 4.370 0.000
0.000 0.000 4.960
U Sb As
1 2 1
Direct
0.000 0.000 0.000
0.000 0.500 0.500
0.500 0.000 0.500
0.500 0.500 0.000

# 6
USbAs2 (GGA-PBE, relaxed); DFT total energy = -6.478 eV per atom; calculated volume = 86 Å³/cell; formation energy from raw total energies = -0.3002 eV per atom
1.0
4.690 0.000 0.000
0.000 4.690 0.000
0.000 0.000 3.901
U Sb As
1 1 2
Direct
0.000 0.000 0.000
0.500 0.500 0.000
0.000 0.500 0.500
0.500 0.000 0.500

# 7
U2SbAs (GGA-PBE, relaxed); DFT total energy = -8.213 eV per atom; calculated volume = 95 Å³/cell; formation energy from raw total energies = -0.3755 eV per atom
1.0
3.593 0.000 0.000
0.000 3.593 0.000
0.000 0.000 7.337
U Sb As
2 1 1
Direct
0.000 0.000 0.232
0.000 0.000 0.768
0.500 0.500 0.500
0.500 0.500 0.000

# 8
V2SbAs (GGA-PBE, relaxed); DFT total energy = -6.501 eV per atom; calculated volume = 158 Å³/cell; formation energy from raw total energies = 0.2513 eV per atom
1.0
-3.586 3.586 3.065
3.586 -3.586 3.065
3.586 3.586 -3.065
V Sb As
4 2 2
Direct
0.080 0.125 0.455
0.375 0.920 0.045
0.670 0.625 0.545
0.875 0.330 0.955
0.250 0.750 0.500
0.500 0.500 0.000
0.000 0.000 0.000
0.750 0.250 0.500

# 9
V3SbAs (GGA-PBE, relaxed); DFT total energy = -6.008 eV per atom; calculated volume = 128 Å³/cell; formation energy from raw total energies = 1.2171 eV per atom
1.0
5.034 0.000 0.000
0.000 5.034 0.000
0.000 0.000 5.034
V Sb As
3 1 1
Direct
0.000 0.000 0.500
0.000 0.500 0.000
0.500 0.000 0.000
0.000 0.000 0.000
0.500 0.500 0.500

# 10
VSb3As (GGA-PBE, relaxed); DFT total energy = -4.217 eV per atom; calculated volume = 149 Å³/cell; formation energy from raw total energies = 1.0104 eV per atom
1.0
5.305 0.000 0.000
0.000 5.305 0.000
0.000 0.000 5.305
V Sb As
1 3 1
Direct
0.000 0.000 0.000
0.000 0.500 0.500
0.500 0.000 0.500
0.500 0.500 0.000
0.500 0.500 0.500

# 11
V2SbAs2 (GGA-PBE, relaxed); DFT total energy = -6.472 eV per atom; calculated volume = 169 Å³/cell; formation energy from raw total energies = -0.1408 eV per atom
1.0
7.309 0.000 0.000
0.000 7.309 0.000
0.000 0.000 3.169
V Sb As
4 2 4
Direct
0.144 0.356 0.000
0.356 0.856 0.000
0.644 0.144 0.000
0.856 0.644 0.000
0.000 0.000 0.000
0.500 0.500 0.000
0.139 0.639 0.500
0.361 0.139 0.500
0.639 0.861 0.500
0.861 0.361 0.500

# 12
VSb3As (GGA-PBE, relaxed); DFT total energy = -4.758 eV per atom; calculated volume = 133 Å³/cell; formation energy from raw total energies = 0.4686 eV per atom
1.0
5.098 0.000 0.000
0.000 5.098 0.000
0.000 0.000 5.098
V Sb As
1 3 1
Direct
0.000 0.000 0.000
0.000 0.000 0.500
0.000 0.500 0.000
0.500 0.000 0.000
0.500 0.500 0.500

# 13
VSb2As (GGA-PBE, relaxed); DFT total energy = -5.122 eV per atom; calculated volume = 246 Å³/cell; formation energy from raw total energies = 0.3811 eV per atom
1.0
-3.124 3.124 6.304
3.124 -3.124 6.304
3.124 3.124 -6.304
V Sb As
2 4 2
Direct
0.000 0.000 0.000
0.750 0.250 0.500
0.109 0.625 0.984
0.375 0.359 0.484
0.641 0.125 0.016
0.875 0.891 0.516
0.250 0.750 0.500
0.500 0.500 0.000

# 14
V2SbAs (GGA-PBE, relaxed); DFT total energy = -6.706 eV per atom; calculated volume = 65 Å³/cell; formation energy from raw total energies = 0.0467 eV per atom
1.0
0.000 3.192 3.192
3.192 0.000 3.192
3.192 3.192 0.000
V Sb As
2 1 1
Direct
0.250 0.250 0.250
0.750 0.750 0.750
0.000 0.000 0.000
0.500 0.500 0.500

# 15
V2Sb2As (GGA-PBE, relaxed); DFT total energy = -6.130 eV per atom; calculated volume = 187 Å³/cell; formation energy from raw total energies = 0.0960 eV per atom
1.0
7.123 0.000 0.000
0.000 7.123 0.000
0.000 0.000 3.683
V Sb As
4 4 2
Direct
0.149 0.351 0.000
0.351 0.851 0.000
0.649 0.149 0.000
0.851 0.649 0.000
0.150 0.650 0.500
0.350 0.150 0.500
0.650 0.850 0.500
0.850 0.350 0.500
0.000 0.000 0.000
0.500 0.500 0.000

# 16
VSbAs (GGA-PBE, relaxed); DFT total energy = -5.984 eV per atom; calculated volume = 234 Å³/cell; formation energy from raw total energies = -0.0207 eV per atom
1.0
7.874 0.000 0.000
0.000 4.486 0.000
0.000 0.000 6.611
V Sb As
4 4 4
Direct
0.094 0.250 0.022
0.406 0.750 0.522
0.594 0.250 0.478
0.906 0.750 0.978
0.077 0.750 0.349
0.423 0.250 0.849
0.577 0.750 0.151
0.923 0.250 0.651
0.186 0.750 0.818
0.314 0.250 0.318
0.686 0.750 0.682
0.814 0.250 0.182

# 17
VSb2As (GGA-PBE, relaxed); DFT total energy = -5.301 eV per atom; calculated volume = 91 Å³/cell; formation energy from raw total energies = 0.2022 eV per atom
1.0
1.644 0.949 9.692
-1.644 0.949 9.692
0.000 -1.899 9.692
V Sb As
1 2 1
Direct
0.000 0.000 0.000
0.400 0.400 0.400
0.600 0.600 0.600
0.500 0.500 0.500

# 18
V3SbAs (GGA-PBE, relaxed); DFT total energy = -6.682 eV per atom; calculated volume = 93 Å³/cell; formation energy from raw total energies = 0.5439 eV per atom
1.0
4.525 0.000 0.000
0.000 4.525 0.000
0.000 0.000 4.525
V Sb As
3 1 1
Direct
0.000 0.000 0.500
0.000 0.500 0.000
0.500 0.000 0.000
0.500 0.500 0.500
0.000 0.000 0.000

# 19
Sb2AsW (GGA-PBE, relaxed); DFT total energy = -5.993 eV per atom; calculated volume = 87 Å³/cell; formation energy from raw total energies = 0.4691 eV per atom
1.0
1.649 0.952 9.223
-1.649 0.952 9.223
0.000 -1.904 9.223
Sb As W
2 1 1
Direct
0.241 0.241 0.241
0.759 0.759 0.759
0.000 0.000 0.000
0.500 0.500 0.500

# 20
SbAsW2 (GGA-PBE, relaxed); DFT total energy = -8.137 eV per atom; calculated volume = 68 Å³/cell; formation energy from raw total energies = 0.5321 eV per atom
1.0
4.583 0.000 0.000
0.000 4.583 0.000
0.000 0.000 3.236
Sb As W
1 1 2
Direct
0.000 0.000 0.000
0.500 0.500 0.000
0.000 0.500 0.500
0.500 0.000 0.500